DFT (PBE with a Hubbard U) results for an optimized crystal structure of V2Bi4O11.

For the magnetization, the calculation gives 0.000 μB/atom. As for the space group: P-1, No. 2. The value obtained for the relative energy among the computed polymorphs is 0 meV/atom.

abc: 5.709 5.720 8.269
angles: 72.79 86.56 85.35
Positions (direct):
V 0.232 0.251 0.029
V 0.768 0.749 0.971
Bi 0.245 0.966 0.660
Bi 0.267 0.581 0.345
Bi 0.733 0.419 0.655
Bi 0.755 0.034 0.340
O 0.000 0.500 0.000
O 0.010 0.263 0.485
O 0.112 0.987 0.155
O 0.348 0.223 0.837
O 0.440 0.309 0.150
O 0.492 0.753 0.491
O 0.508 0.247 0.509
O 0.560 0.691 0.850
O 0.652 0.777 0.163
O 0.888 0.013 0.845
O 0.990 0.737 0.515